# Pm2AlCo3Ge4

A relaxed Pm2AlCo3Ge4 crystal (PBE-GGA, Alexandria via LeMat-Bulk).

Lattice parameters (Å, degrees): 4.102 4.102 10.132 90.00 90.00 90.00
Atoms (fractional coordinates):
Pm1 0.000 0.500 0.237
Pm2 0.500 0.000 0.763
Al1 0.000 0.000 0.500
Co1 0.000 0.500 0.881
Co2 0.500 0.000 0.119
Co3 0.500 0.500 0.500
Ge1 0.000 0.000 0.000
Ge2 0.000 0.500 0.650
Ge3 0.500 0.000 0.350
Ge4 0.500 0.500 0.000

Calculated values
Its space-group type is No. 115. The value obtained for the formation energy is -0.560 eV per atom. The density of states at the Fermi level is 0.76 states/eV/atom.